NdYAl2Ni4: relaxed, GGA-PBE.

a b c (Å): 4.166 4.166 9.199
angles (deg): 90.00 90.00 120.00
Sites, in units of the cell vectors:
Al1 0.667 0.333 0.258
Al2 0.667 0.333 0.742
Nd1 0.000 0.000 0.000
Ni1 0.333 0.667 0.199
Ni2 0.000 0.000 0.314
Ni3 0.000 0.000 0.686
Ni4 0.333 0.667 0.801
Y1 0.333 0.667 0.500

Calculated values
DFT total energy (eV/atom): -5.677